La6Sm8Cd | GGA-PBE | optimized geometry

Summary:
As for the crystal system: trigonal. The mass density comes out at 6.78 g cm⁻³. The value obtained for the formation enthalpy at 0 K is 0.0672 eV per atom. As for the total energy: -4.48 eV/atom.

Cell and atoms, written as CIF:
```
data_La6Sm8Cd
_space_group_name_H-M_alt 'P -3'
_space_group_IT_number 147
_cell_length_a 9.6596
_cell_length_b 9.6596
_cell_length_c 6.5140
_cell_angle_alpha 90.00
_cell_angle_beta 90.00
_cell_angle_gamma 120.00
loop_
_space_group_symop_operation_xyz
'x,y,z'
'-x,-y,-z'
'-y,x-y,z'
'y,-x+y,-z'
'-x+y,-x,z'
'x-y,x,-z'
loop_
_atom_site_label
_atom_site_fract_x
_atom_site_fract_y
_atom_site_fract_z
La1 0.0911 0.4517 0.1835
Sm1 0.0432 0.2621 0.6892
Sm2 0.3333 0.6667 0.6665
Cd1 0.0000 0.0000 0.0000
```